Ac2Pm2NdY | PBE-GGA | optimized geometry

Results
Symmetry = Pmma, No. 51
Energy of formation = 0.073 eV/atom
Crystal system = orthorhombic

Cell: 5.943 7.391 10.216 Å, 90.00 90.00 90.00°
Positions (direct):
Ac1 0.500 0.008 0.000
Ac2 0.000 0.257 0.174
Ac3 0.500 0.508 0.000
Ac4 0.000 0.757 0.826
Pm1 0.000 0.258 0.824
Pm2 0.500 0.258 0.347
Pm3 0.000 0.758 0.176
Pm4 0.500 0.758 0.653
Nd1 0.500 0.258 0.664
Nd2 0.500 0.758 0.336
Y1 0.000 0.008 0.500
Y2 0.000 0.508 0.500

---

AcPmNdY | PBE-GGA | optimized geometry

Results
Relative energy among the computed polymorphs = 0.0 meV/atom
Symmetry = F-43m, No. 216
Energy of formation = 0.127 eV/atom
Crystal system = cubic

Cell: 5.923 5.923 5.923 Å, 60.00 60.00 60.00°
Positions (direct):
Y1 0.750 0.750 0.750
Ac1 0.000 0.000 0.000
Nd1 0.250 0.250 0.250
Pm1 0.500 0.500 0.500

---

AcPm3NdY | PBE-GGA | optimized geometry

Results
Symmetry = P2_1/m, No. 11
Energy of formation = 0.033 eV/atom
Crystal system = monoclinic

Cell: 5.239 8.288 11.071 Å, 116.49 90.00 90.00°
Positions (direct):
Ac1 0.250 0.125 0.292
Ac2 0.750 0.875 0.708
Pm1 0.750 0.869 0.040
Pm2 0.250 0.131 0.960
Pm3 0.250 0.624 0.454
Pm4 0.750 0.376 0.546
Pm5 0.750 0.378 0.207
Pm6 0.250 0.622 0.793
Nd1 0.250 0.620 0.125
Nd2 0.750 0.380 0.875
Y1 0.250 0.129 0.626
Y2 0.750 0.871 0.374

---

Ac5PmNdY2 | PBE-GGA | optimized geometry

Results
Symmetry = Cmc2_1, No. 36
Energy of formation = 0.145 eV/atom
Crystal system = orthorhombic

Cell: 5.788 11.749 11.147 Å, 90.00 90.00 104.26°
Positions (direct):
Ac1 0.373 0.746 0.008
Ac2 0.718 0.436 0.823
Ac3 0.500 0.000 0.758
Ac4 0.283 0.565 0.694
Ac5 0.003 0.005 0.508
Ac6 0.627 0.254 0.508
Ac7 0.282 0.564 0.323
Ac8 0.500 0.000 0.258
Ac9 0.717 0.435 0.194
Ac10 0.997 0.995 0.008
Pm1 0.789 0.578 0.509
Pm2 0.211 0.422 0.009
Nd1 0.597 0.194 0.008
Nd2 0.403 0.806 0.508
Y1 0.887 0.775 0.750
Y2 0.113 0.226 0.766
Y3 0.113 0.225 0.250
Y4 0.887 0.774 0.266

---

Ac5PrNd | PBE-GGA | optimized geometry

Results
Symmetry = P4/mmm, No. 123
Energy of formation = 0.229 eV/atom
Crystal system = tetragonal

Cell: 5.680 5.680 9.662 Å, 90.00 90.00 90.00°
Positions (direct):
Ac1 0.500 0.500 0.000
Ac2 0.500 0.000 0.279
Ac3 0.000 0.500 0.279
Ac4 0.500 0.000 0.721
Ac5 0.000 0.500 0.721
Pr1 0.000 0.000 0.000
Nd1 0.000 0.000 0.500

---

Ac2Pr6Nd3 | PBE-GGA | optimized geometry

Results
Relative energy among the computed polymorphs = 0.0 meV/atom
Symmetry = P-1, No. 2
Energy of formation = 0.022 eV/atom
Crystal system = triclinic

Cell: 6.538 8.387 15.490 Å, 49.33 60.46 97.16°
Positions (direct):
Ac1 0.633 0.453 0.094
Ac2 0.367 0.547 0.906
Pr1 0.096 0.639 0.722
Pr2 0.726 0.097 0.817
Pr3 0.904 0.361 0.278
Pr4 0.274 0.903 0.183
Pr5 0.816 0.722 0.545
Pr6 0.184 0.278 0.455
Nd1 0.000 0.000 0.000
Nd2 0.545 0.811 0.367
Nd3 0.455 0.189 0.633

---

AcPr3Nd8 | PBE-GGA | optimized geometry

Results
Symmetry = I222, No. 23
Energy of formation = 0.274 eV/atom
Crystal system = orthorhombic

Cell: 9.505 9.505 9.505 Å, 69.93 140.10 125.17°
Positions (direct):
Ac1 0.000 0.000 0.000
Pr1 0.500 0.613 0.113
Pr2 0.500 0.387 0.887
Pr3 0.000 0.500 0.500
Nd1 0.567 0.069 0.294
Nd2 0.433 0.728 0.503
Nd3 0.225 0.931 0.497
Nd4 0.775 0.272 0.706
Nd5 0.304 0.362 0.383
Nd6 0.696 0.080 0.059
Nd7 0.021 0.638 0.941
Nd8 0.979 0.920 0.617

---

Ac3Pr2Nd3 | PBE-GGA | optimized geometry

Results
Relative energy among the computed polymorphs = 119.6 meV/atom
Symmetry = P6_3/mcm, No. 193
Energy of formation = 0.147 eV/atom
Crystal system = hexagonal

Cell: 6.903 10.284 10.284 Å, 60.00 90.00 90.00°
Positions (direct):
Ac1 0.750 0.000 0.231
Ac2 0.750 0.231 0.769
Ac3 0.750 0.769 0.000
Ac4 0.250 0.000 0.769
Ac5 0.250 0.769 0.231
Ac6 0.250 0.231 0.000
Pr1 0.000 0.333 0.333
Pr2 0.500 0.667 0.667
Pr3 0.000 0.667 0.667
Pr4 0.500 0.333 0.333
Nd1 0.750 0.000 0.586
Nd2 0.750 0.586 0.414
Nd3 0.750 0.414 0.000
Nd4 0.250 0.000 0.414
Nd5 0.250 0.414 0.586
Nd6 0.250 0.586 0.000

---

Ac12Pr5Nd | PBE-GGA | optimized geometry

Results
Symmetry = Cm, No. 8
Energy of formation = 0.030 eV/atom
Crystal system = monoclinic

Cell: 11.745 11.688 6.740 Å, 73.82 90.00 59.84°
Positions (direct):
Ac1 0.836 0.000 0.500
Ac2 0.164 0.000 0.500
Ac3 0.665 0.000 0.000
Ac4 0.336 0.000 0.000
Ac5 0.331 0.667 0.000
Ac6 0.003 0.667 0.000
Ac7 0.998 0.333 0.000
Ac8 0.670 0.333 0.000
Ac9 0.497 0.334 0.500
Ac10 0.831 0.667 0.500
Ac11 0.169 0.334 0.500
Ac12 0.502 0.667 0.500
Pr1 0.500 0.000 0.500
Pr2 0.166 0.667 0.499
Pr3 0.833 0.333 0.500
Pr4 0.667 0.666 0.000
Pr5 0.334 0.333 0.000
Nd1 0.000 0.000 0.000

---

Ac7Pr3Nd | PBE-GGA | optimized geometry

Results
Relative energy among the computed polymorphs = 0.0 meV/atom
Symmetry = P-1, No. 2
Energy of formation = 0.110 eV/atom
Crystal system = triclinic

Cell: 10.813 7.331 9.382 Å, 100.61 87.35 139.85°
Positions (direct):
Ac1 0.817 0.749 0.829
Ac2 0.999 0.731 0.422
Ac3 0.566 0.288 0.146
Ac4 0.434 0.712 0.854
Ac5 0.500 0.000 0.500
Ac6 0.001 0.269 0.578
Ac7 0.183 0.251 0.171
Pr1 0.286 0.047 0.794
Pr2 0.000 0.500 0.000
Pr3 0.714 0.953 0.206
Nd1 0.500 0.500 0.500

---

Ac3Pr5Nd4 | PBE-GGA | optimized geometry

Results
Relative energy among the computed polymorphs = 206.3 meV/atom
Symmetry = C2/m, No. 12
Energy of formation = 0.227 eV/atom
Crystal system = monoclinic

Cell: 6.335 8.571 11.636 Å, 113.28 74.20 68.31°
Positions (direct):
Ac1 0.404 0.831 0.362
Ac2 0.000 0.500 0.500
Ac3 0.596 0.169 0.638
Pr1 0.611 0.939 0.839
Pr2 0.500 0.500 0.500
Pr3 0.212 0.481 0.095
Pr4 0.788 0.519 0.905
Pr5 0.389 0.061 0.161
Nd1 0.815 0.264 0.107
Nd2 0.131 0.003 0.735
Nd3 0.869 0.997 0.265
Nd4 0.185 0.736 0.893

---

Ac3PrNd8 | PBE-GGA | optimized geometry

Results
Symmetry = I222, No. 23
Energy of formation = 0.242 eV/atom
Crystal system = orthorhombic

Cell: 9.329 9.329 9.329 Å, 77.23 137.72 118.76°
Positions (direct):
Ac1 0.500 0.630 0.130
Ac2 0.500 0.370 0.870
Ac3 0.000 0.500 0.500
Pr1 0.000 0.000 0.000
Nd1 0.530 0.054 0.270
Nd2 0.470 0.740 0.524
Nd3 0.216 0.946 0.476
Nd4 0.784 0.260 0.730
Nd5 0.287 0.357 0.348
Nd6 0.713 0.060 0.069
Nd7 0.991 0.643 0.931
Nd8 0.009 0.940 0.652